No. 1
# PBE-GGA Ca3AsAu2, relaxed
# Energy of formation: -0.901 eV/atom
# Total magnetic moment: 0.00 μB/cell
data_Ca3AsAu2
_chemical_formula_sum 'Ca3 As1 Au2'
_cell_length_a 5.0961
_cell_length_b 5.0961
_cell_length_c 6.4155
_cell_angle_alpha 90.00
_cell_angle_beta 90.00
_cell_angle_gamma 120.00
_symmetry_space_group_name_H-M 'P -3 m 1'
_symmetry_Int_Tables_number 164
_symmetry_space_group_name_Hall '-P 3 2"'
loop_
_atom_site_label
_atom_site_fract_x
_atom_site_fract_y
_atom_site_fract_z
Ca1 0.0000 0.0000 0.0000
Ca2 0.3333 0.6667 0.6568
As1 0.0000 0.0000 0.5000
Au1 0.3333 0.6667 0.1373

---

No. 2
# PBE-GGA CaAs2Au, relaxed
# Energy of formation: -0.448 eV/atom
# Total magnetic moment: 0.00 μB/cell
data_CaAs2Au
_chemical_formula_sum 'Ca2 As4 Au2'
_cell_length_a 9.415
_cell_length_b 4.704
_cell_length_c 4.516
_cell_angle_alpha 90.00
_cell_angle_beta 105.80
_cell_angle_gamma 90.00
_symmetry_space_group_name_H-M 'C 1 2/m 1'
_symmetry_Int_Tables_number 12
_symmetry_space_group_name_Hall '-C 2y'
loop_
_atom_site_label
_atom_site_fract_x
_atom_site_fract_y
_atom_site_fract_z
Ca1 0.000 0.000 0.000
As1 0.238 0.500 0.356
Au1 0.000 0.500 0.500

---

No. 3
# PBE-GGA CaAsAu, relaxed
# Energy of formation: -0.819 eV/atom
# Total magnetic moment: 0.00 μB/cell
data_CaAsAu
_chemical_formula_sum 'Ca6 As6 Au6'
_cell_length_a 7.273
_cell_length_b 4.338
_cell_length_c 12.327
_cell_angle_alpha 90.00
_cell_angle_beta 91.21
_cell_angle_gamma 90.00
_symmetry_space_group_name_H-M 'P 1 21/m 1'
_symmetry_Int_Tables_number 11
_symmetry_space_group_name_Hall '-P 2yb'
loop_
_atom_site_label
_atom_site_fract_x
_atom_site_fract_y
_atom_site_fract_z
Ca1 0.025 0.250 0.123
Ca2 0.163 0.250 0.421
Ca3 0.475 0.750 0.795
As1 0.231 0.750 0.252
As2 0.249 0.750 0.588
As3 0.263 0.250 0.921
Au1 0.141 0.250 0.710
Au2 0.330 0.750 0.046
Au3 0.490 0.750 0.408

---

No. 4
# PBE-GGA CaAsAu2, relaxed
# Energy of formation: -0.375 eV/atom
# Total magnetic moment: 0.00 μB/cell
data_CaAsAu2
_chemical_formula_sum 'Ca4 As4 Au8'
_cell_length_a 4.825
_cell_length_b 4.825
_cell_length_c 17.525
_cell_angle_alpha 90.00
_cell_angle_beta 90.00
_cell_angle_gamma 90.00
_symmetry_space_group_name_H-M 'I -4 2 d'
_symmetry_Int_Tables_number 122
_symmetry_space_group_name_Hall 'I -4 2bw'
loop_
_atom_site_label
_atom_site_fract_x
_atom_site_fract_y
_atom_site_fract_z
Ca1 0.000 0.000 0.000
As1 0.000 0.000 0.500
Au1 0.153 0.250 0.625

---

No. 5
# PBE-GGA CaAs2Au, relaxed
# Energy of formation: -0.425 eV/atom
# Total magnetic moment: 0.00 μB/cell
data_CaAs2Au
_chemical_formula_sum 'Ca1 As2 Au1'
_cell_length_a 4.009
_cell_length_b 5.082
_cell_length_c 4.749
_cell_angle_alpha 90.00
_cell_angle_beta 91.38
_cell_angle_gamma 90.00
_symmetry_space_group_name_H-M 'P 1 m 1'
_symmetry_Int_Tables_number 6
_symmetry_space_group_name_Hall 'P -2y'
loop_
_atom_site_label
_atom_site_fract_x
_atom_site_fract_y
_atom_site_fract_z
Ca1 0.000 0.000 0.000
As1 0.424 0.500 0.716
As2 0.478 0.000 0.519
Au1 0.619 0.500 0.214

---

No. 6
# PBE-GGA Ca2AsAu2, relaxed
# Energy of formation: -0.579 eV/atom
# Total magnetic moment: 0.00 μB/cell
data_Ca2AsAu2
_chemical_formula_sum 'Ca4 As2 Au4'
_cell_length_a 5.715
_cell_length_b 5.715
_cell_length_c 8.129
_cell_angle_alpha 90.00
_cell_angle_beta 90.00
_cell_angle_gamma 90.00
_symmetry_space_group_name_H-M 'I 4/m m m'
_symmetry_Int_Tables_number 139
_symmetry_space_group_name_Hall '-I 4 2'
loop_
_atom_site_label
_atom_site_fract_x
_atom_site_fract_y
_atom_site_fract_z
Ca1 0.000 0.500 0.250
As1 0.000 0.000 0.000
Au1 0.000 0.000 0.339

---

| no. | energy (eV per atom) |
| --- | --- |
| 1 | -3.77 |
| 2 | -4.09 |
| 3 | -4.13 |
| 4 | -3.68 |
| 5 | -4.07 |
| 6 | -3.62 |